Here is a relaxed structure of CaMg6W from Alexandria. Energies are from PBE.

Cell lengths 6.3342, 6.3342, 4.3912 Å; angles 90.00, 90.00, 90.00 degrees
Space group P4/mmm (No. 123)
Unique sites:
Ca (0.0000, 0.0000, 0.0000) x1
Mg (0.0000, 0.5000, 0.0000) x2
Mg (0.2746, 0.2746, 0.5000) x4
W (0.5000, 0.5000, 0.0000) x1

Relative energy among the computed polymorphs: 0 meV/atom
Density of states at the Fermi level: 3.2 states/eV/cell
Calculated formation energy: 0.25 eV per atom
Crystal system: tetragonal

Here is a relaxed structure of CaMg2W from Alexandria. Energies are from PBE.

Cell lengths 4.1098, 4.1402, 10.0460 Å; angles 90.00, 90.00, 90.00 degrees
Space group Cmmm (No. 65)
Unique sites:
Ca (0.0000, 0.0000, 0.0000) x2
Mg (0.0000, 0.5000, 0.2839) x4
W (0.0000, 0.0000, 0.5000) x2

Relative energy among the computed polymorphs: 0 meV/atom
Density of states at the Fermi level: 5.7 states/eV/cell
Calculated formation energy: 0.45 eV per atom
Crystal system: orthorhombic

Here is a relaxed structure of CaMgW from Alexandria. Energies are from PBE.

Cell lengths 3.0430, 3.0430, 7.9542 Å; angles 90.00, 90.00, 120.00 degrees
Space group P3m1 (No. 156)
Unique sites:
Ca (0.0000, 0.0000, 0.0000) x1
Mg (0.6667, 0.3333, 0.3816) x1
W (0.3333, 0.6667, 0.6790) x1

Relative energy among the computed polymorphs: 96 meV/atom
Density of states at the Fermi level: 2.2 states/eV/cell
Calculated formation energy: 0.70 eV per atom
Crystal system: trigonal

Here is a relaxed structure of CaMg2W2 from Alexandria. Energies are from PBE.

Cell lengths 3.8013, 3.8013, 15.1817 Å; angles 90.00, 90.00, 90.00 degrees
Space group I4/mmm (No. 139)
Unique sites:
Ca (0.0000, 0.0000, 0.0000) x2
Mg (0.0000, 0.0000, 0.3910) x4
W (0.0000, 0.5000, 0.2500) x4

Density of states at the Fermi level: 8.0 states/eV/cell
Calculated formation energy: 0.64 eV per atom
Crystal system: tetragonal

Here is a relaxed structure of CaMg2W from Alexandria. Energies are from PBE.

Cell lengths 2.9179, 2.9179, 10.0793 Å; angles 90.00, 90.00, 90.00 degrees
Space group P4mm (No. 99)
Unique sites:
Ca (0.0000, 0.0000, 0.0000) x1
Mg (0.0000, 0.0000, 0.5383) x1
Mg (0.5000, 0.5000, 0.2845) x1
W (0.5000, 0.5000, 0.7526) x1

Relative energy among the computed polymorphs: 13 meV/atom
Density of states at the Fermi level: 2.4 states/eV/cell
Calculated formation energy: 0.46 eV per atom
Crystal system: tetragonal

Here is a relaxed structure of CaMg2W from Alexandria. Energies are from PBE.

Cell lengths 11.7029, 2.9787, 5.5124 Å; angles 90.00, 117.34, 90.00 degrees
Space group Cm (No. 8)
Unique sites:
Ca (0.0000, 0.0000, 0.0000) x2
Mg (0.2352, 0.0000, 0.5919) x2
Mg (0.4812, 0.0000, 0.4886) x2
W (0.2559, 0.5000, 0.1119) x2

Relative energy among the computed polymorphs: 145 meV/atom
Density of states at the Fermi level: 3.8 states/eV/cell
Calculated formation energy: 0.59 eV per atom
Crystal system: monoclinic

Here is a relaxed structure of CaMgW from Alexandria. Energies are from PBE.

Cell lengths 2.8597, 4.4045, 10.2586 Å; angles 90.00, 90.00, 90.00 degrees
Space group Imm2 (No. 44)
Unique sites:
Ca (0.0000, 0.0000, 0.0000) x2
Mg (0.0000, 0.0000, 0.3105) x2
W (0.0000, 0.0000, 0.6831) x2

Relative energy among the computed polymorphs: 194 meV/atom
Density of states at the Fermi level: 6.7 states/eV/cell
Calculated formation energy: 0.80 eV per atom
Crystal system: orthorhombic

Here is a relaxed structure of CaMg2W from Alexandria. Energies are from PBE.

Cell lengths 5.1638, 5.1638, 3.1101 Å; angles 90.00, 90.00, 90.00 degrees
Space group P4/mmm (No. 123)
Unique sites:
Ca (0.0000, 0.0000, 0.0000) x1
Mg (0.0000, 0.5000, 0.5000) x2
W (0.5000, 0.5000, 0.0000) x1

Relative energy among the computed polymorphs: 194 meV/atom
Density of states at the Fermi level: 1.5 states/eV/cell
Calculated formation energy: 0.64 eV per atom
Crystal system: tetragonal

Here is a relaxed structure of CaMgW from Alexandria. Energies are from PBE.

Cell lengths 3.8348, 4.3024, 15.3360 Å; angles 90.00, 90.00, 90.00 degrees
Space group Fmm2 (No. 42)
Unique sites:
Ca (0.0000, 0.0000, 0.0000) x4
Mg (0.0000, 0.0000, 0.6916) x4
W (0.0000, 0.0000, 0.3370) x4

Relative energy among the computed polymorphs: 0 meV/atom
Density of states at the Fermi level: 5.8 states/eV/cell
Calculated formation energy: 0.60 eV per atom
Crystal system: orthorhombic

Here is a relaxed structure of CaMg2W from Alexandria. Energies are from PBE.

Cell lengths 2.9929, 4.2944, 6.7118 Å; angles 90.00, 90.00, 90.00 degrees
Space group Pmmm (No. 47)
Unique sites:
Ca (0.0000, 0.0000, 0.0000) x1
Mg (0.5000, 0.5000, 0.2928) x2
W (0.0000, 0.0000, 0.5000) x1

Relative energy among the computed polymorphs: 88 meV/atom
Density of states at the Fermi level: 3.3 states/eV/cell
Calculated formation energy: 0.53 eV per atom
Crystal system: orthorhombic

Here is a relaxed structure of Ca3MgW from Alexandria. Energies are from PBE.

Cell lengths 5.5983, 5.5983, 5.5983 Å; angles 90.00, 90.00, 90.00 degrees
Space group Pm-3m (No. 221)
Unique sites:
Ca (0.0000, 0.0000, 0.5000) x3
Mg (0.5000, 0.5000, 0.5000) x1
W (0.0000, 0.0000, 0.0000) x1

Density of states at the Fermi level: 4.1 states/eV/cell
Calculated formation energy: 0.97 eV per atom
Crystal system: cubic

Here is a relaxed structure of CaMg2W from Alexandria. Energies are from PBE.

Cell lengths 7.0401, 7.0401, 7.0401 Å; angles 90.00, 90.00, 90.00 degrees
Space group Fm-3m (No. 225)
Unique sites:
Ca (0.0000, 0.0000, 0.0000) x4
Mg (0.2500, 0.2500, 0.2500) x8
W (0.0000, 0.0000, 0.5000) x4

Relative energy among the computed polymorphs: 241 meV/atom
Density of states at the Fermi level: 10.2 states/eV/cell
Calculated formation energy: 0.69 eV per atom
Crystal system: cubic